Computed, not measured: an optimized crystal structure of GdYTlCo2 at the GGA-PBE level of DFT.

Calculated values
V: 20.90 Å³ per atom
Calculated total energy: -5.8190 eV/atom

Cell lengths 3.867, 7.307, 7.307 Å; angles 30.42, 90.00, 90.00 degrees
Fractional coordinates of all 5 atoms:
Gd 0.000 0.000 0.000
Y 0.000 0.721 0.721
Tl 0.500 0.360 0.360
Co 0.500 0.154 0.154
Co 0.500 0.567 0.567


Computed, not measured: an optimized crystal structure of TlCuHgOs at the GGA-PBE level of DFT.

Calculated values
Offset from the most stable computed form: 0 meV/atom
V: 17.82 Å³ per atom

Cell lengths 4.654, 4.654, 4.654 Å; angles 60.00, 60.00, 60.00 degrees
Fractional coordinates of all 4 atoms:
Tl 0.000 0.000 0.000
Cu 0.250 0.250 0.250
Hg 0.500 0.500 0.500
Os 0.750 0.750 0.750


Computed, not measured: an optimized crystal structure of Ta2AsN at the GGA-PBE level of DFT.

Calculated values
V: 14.14 Å³ per atom
Calculated total energy: -9.7400 eV/atom

Cell lengths 5.717, 5.717, 12.439 Å; angles 103.36, 103.36, 60.01 degrees
Fractional coordinates of all 24 atoms:
Ta 0.028 0.859 0.593
Ta 0.141 0.972 0.907
Ta 0.195 0.371 0.092
Ta 0.307 0.463 0.408
Ta 0.371 0.195 0.592
Ta 0.463 0.307 0.908
Ta 0.537 0.693 0.092
Ta 0.629 0.805 0.408
Ta 0.693 0.537 0.592
Ta 0.805 0.629 0.908
Ta 0.859 0.028 0.093
Ta 0.972 0.141 0.407
As 0.083 0.251 0.749
As 0.251 0.083 0.249
As 0.418 0.582 0.750
As 0.582 0.418 0.250
As 0.749 0.917 0.751
As 0.917 0.749 0.251
N 0.000 0.500 0.500
N 0.164 0.677 0.000
N 0.323 0.836 0.500
N 0.500 0.000 0.000
N 0.677 0.164 0.500
N 0.836 0.323 0.000


Computed, not measured: an optimized crystal structure of ZrInAu3S4 at the GGA-PBE level of DFT.

Calculated values
Offset from the most stable computed form: 16 meV/atom
V: 25.11 Å³ per atom

Cell lengths 5.844, 7.681, 10.367 Å; angles 90.00, 103.82, 90.00 degrees
Fractional coordinates of all 18 atoms:
Zr 0.093 0.250 0.290
Zr 0.907 0.750 0.710
In 0.134 0.250 0.886
In 0.866 0.750 0.114
Au 0.347 0.559 0.585
Au 0.347 0.941 0.585
Au 0.483 0.250 0.147
Au 0.517 0.750 0.853
Au 0.653 0.059 0.415
Au 0.653 0.441 0.415
S 0.020 0.750 0.486
S 0.167 0.750 0.930
S 0.312 0.512 0.247
S 0.312 0.988 0.247
S 0.688 0.012 0.753
S 0.688 0.488 0.753
S 0.833 0.250 0.070
S 0.980 0.250 0.514